1.
Here is a geometry-optimized NiHg2Pd9 structure from Alexandria. Energies are from GGA-PBE.

Cell: 3.9978 3.9978 12.0074 Å, 90.00 90.00 90.00°
Last column: nearest neighbours and their distance in Å.
Atoms (fractional coordinates):
Ni1 0.0000 0.0000 0.0000  12 Pd 2.71-2.83
Hg1 0.0000 0.0000 0.3276  12 Pd 2.83-2.90
Hg2 0.0000 0.0000 0.6724  12 Pd 2.83-2.90
Pd1 0.0000 0.5000 0.1529  2 Ni 2.71, 8 Pd 2.71-2.88, 2 Hg 2.90
Pd2 0.0000 0.5000 0.5000  8 Pd 2.83-2.90, 4 Hg 2.88
Pd3 0.0000 0.5000 0.8471  2 Ni 2.71, 8 Pd 2.71-2.88, 2 Hg 2.90
Pd4 0.5000 0.0000 0.1529  2 Ni 2.71, 8 Pd 2.71-2.88, 2 Hg 2.90
Pd5 0.5000 0.0000 0.5000  8 Pd 2.83-2.90, 4 Hg 2.88
Pd6 0.5000 0.0000 0.8471  2 Ni 2.71, 8 Pd 2.71-2.88, 2 Hg 2.90
Pd7 0.5000 0.5000 0.0000  8 Pd 2.71, 4 Ni 2.83
Pd8 0.5000 0.5000 0.3251  4 Hg 2.83, 8 Pd 2.88-2.90
Pd9 0.5000 0.5000 0.6749  4 Hg 2.83, 8 Pd 2.88-2.90

Output
SG: P4/mmm
Energy of formation from the pure elements, meV/atom: -48

2.
Here is a geometry-optimized Sm3B2N6 structure from Alexandria. Energies are from GGA-PBE.

Cell: 10.1977 10.1977 10.1977 Å, 159.89 159.89 28.58°
Last column: nearest neighbours and their distance in Å.
Atoms (fractional coordinates):
Sm1 0.0000 0.0000 0.0000  8 N 2.49
Sm2 0.1800 0.1800 0.0000  9 N 2.49-2.54, 4 B 2.79
Sm3 0.8200 0.8200 0.0000  9 N 2.49-2.54, 4 B 2.79
B1 0.3804 0.3804 0.0000  1 N 1.47
B2 0.6196 0.6196 0.0000  1 N 1.47
N1 0.0881 0.5881 0.5000  2 B 1.89
N2 0.3062 0.3062 0.0000  1 B 1.47
N3 0.4119 0.9119 0.5000  2 B 1.89
N4 0.5881 0.0881 0.5000  2 B 1.89
N5 0.6938 0.6938 0.0000  1 B 1.47
N6 0.9119 0.4119 0.5000  2 B 1.89

Output
SG: I4/mmm
Energy relative to the elements, uncorrected, eV per atom: -0.575

3.
Here is a geometry-optimized MgNbCr structure from Alexandria. Energies are from GGA-PBE.

Cell: 2.8653 4.2517 8.4219 Å, 90.00 98.53 90.00°
Last column: nearest neighbours and their distance in Å.
Atoms (fractional coordinates):
Mg1 0.1816 0.2500 0.4039  6 Mg 2.87-3.10, 1 Cr 2.89, 4 Nb 2.98-3.10
Mg2 0.8184 0.7500 0.5961  6 Mg 2.87-3.10, 1 Cr 2.89, 4 Nb 2.98-3.10
Nb1 0.4454 0.2500 0.7919  3 Cr 2.40-2.65
Nb2 0.5546 0.7500 0.2081  3 Cr 2.40-2.65
Cr1 0.1520 0.7500 0.9374  3 Nb 2.40-2.65, 2 Cr 2.58
Cr2 0.8480 0.2500 0.0626  3 Nb 2.40-2.65, 2 Cr 2.58

Output
SG: P2_1/m
Polymorph energy (0 for the lowest one), meV per atom: 21
Energy of formation from the pure elements, meV/atom: 261

4.
Here is a geometry-optimized TmScRuRh structure from Alexandria. Energies are from GGA-PBE.

Cell: 4.6543 4.6543 4.6543 Å, 60.00 60.00 60.00°
Last column: nearest neighbours and their distance in Å.
Atoms (fractional coordinates):
Tm1 0.0000 0.0000 0.0000  4 Ru 2.85, 4 Rh 2.85
Sc1 0.5000 0.5000 0.5000  4 Ru 2.85, 4 Rh 2.85
Ru1 0.7500 0.7500 0.7500  4 Sc 2.85, 4 Tm 2.85
Rh1 0.2500 0.2500 0.2500  4 Sc 2.85, 4 Tm 2.85

Output
SG: F-43m
Energy of formation from the pure elements, meV/atom: -763

Values of E, in order: -4.4751 -7.6174 -6.8351 -7.6208, all in eV/atom.